La2SbPb | PBE | optimized geometry

Cell: 5.8308 5.8308 5.8308 Å, 126.64 126.64 78.84°
With the nearest neighbours (Å) after each atom.
Fractional positions:
La1 0.2500 0.7500 0.5000  4 Pb 3.45, 4 Sb 3.45, 4 La 3.70
La2 0.7500 0.2500 0.5000  4 Pb 3.45, 4 Sb 3.45, 4 La 3.70
Sb1 0.0000 0.0000 0.0000  8 La 3.45, 4 Pb 3.70
Pb1 0.5000 0.5000 0.0000  8 La 3.45, 4 Sb 3.70

Formation energy from raw total energies ... -293 kJ/mol of formula units
Symmetry ... No. 139
Energy ... -20.73 eV/f.u.
Calculated volume ... 123.5 Å³/f.u.
Total moment ... 0.005 μB/atom


LaSb2Pb | PBE | optimized geometry

Cell: 4.4934 4.4934 6.7351 Å, 90.00 90.00 90.00°
With the nearest neighbours (Å) after each atom.
Fractional positions:
La1 0.0000 0.0000 0.0000  6 Sb 3.21-3.42
Sb1 0.0000 0.0000 0.4926  4 Pb 3.26, 2 La 3.32-3.42
Sb2 0.5000 0.5000 0.9280  1 Pb 3.09, 4 La 3.21
Pb1 0.5000 0.5000 0.3864  5 Sb 3.09-3.26

Formation energy from raw total energies ... -207 kJ/mol of formula units
Symmetry ... No. 99
Energy ... -19.03 eV/f.u.
Calculated volume ... 136.0 Å³/f.u.
Total moment ... 0.000 μB/atom


La2SbPb | PBE | optimized geometry

Cell: 6.5762 6.5760 13.1906 Å, 90.00 90.00 90.00°
With the nearest neighbours (Å) after each atom.
Fractional positions:
La1 0.0000 0.2491 0.1190  3 Sb 3.22-3.29, 3 Pb 3.29-3.38
La2 0.0000 0.2511 0.6310  3 Sb 3.22-3.29, 3 Pb 3.29-3.38
La3 0.0000 0.7489 0.3690  3 Sb 3.22-3.29, 3 Pb 3.29-3.38
La4 0.0000 0.7509 0.8810  3 Sb 3.22-3.29, 3 Pb 3.29-3.38
La5 0.5000 0.2491 0.3810  3 Sb 3.22-3.29, 3 Pb 3.29-3.38
La6 0.5000 0.2511 0.8690  3 Sb 3.22-3.29, 3 Pb 3.29-3.38
La7 0.5000 0.7489 0.1310  3 Sb 3.22-3.29, 3 Pb 3.29-3.38
La8 0.5000 0.7509 0.6190  3 Sb 3.22-3.29, 3 Pb 3.29-3.38
Sb1 0.0000 0.2510 0.8750  6 La 3.22-3.29
Sb2 0.0000 0.7490 0.1250  6 La 3.22-3.29
Sb3 0.5000 0.2510 0.6250  6 La 3.22-3.29
Sb4 0.5000 0.7490 0.3750  6 La 3.22-3.29
Pb1 0.0000 0.2488 0.3750  6 La 3.29-3.38
Pb2 0.0000 0.7512 0.6250  6 La 3.29-3.38
Pb3 0.5000 0.2488 0.1250  6 La 3.29-3.38
Pb4 0.5000 0.7512 0.8750  6 La 3.29-3.38

Formation energy from raw total energies ... -330 kJ/mol of formula units
Symmetry ... No. 53
Energy ... -21.11 eV/f.u.
Calculated volume ... 142.6 Å³/f.u.
Total moment ... 0.000 μB/atom


La5SbPb2 | PBE | optimized geometry

Cell: 8.7154 13.2355 4.8531 Å, 90.00 90.00 90.00°
With the nearest neighbours (Å) after each atom.
Fractional positions:
La1 0.0000 0.0000 0.0000  4 Pb 3.42, 4 La 3.62
La2 0.1503 0.2841 0.0000  1 Sb 3.14, 4 Pb 3.42-3.48
La3 0.2117 0.5709 0.5000  2 Sb 3.19, 2 Pb 3.49-3.57
La4 0.2883 0.0709 0.5000  2 Sb 3.19, 2 Pb 3.49-3.57
La5 0.3497 0.7841 0.0000  1 Sb 3.14, 4 Pb 3.42-3.48
La6 0.5000 0.5000 0.0000  4 Pb 3.42, 4 La 3.62
La7 0.6503 0.2159 0.0000  1 Sb 3.14, 4 Pb 3.42-3.48
La8 0.7117 0.9291 0.5000  2 Sb 3.19, 2 Pb 3.49-3.57
La9 0.7883 0.4291 0.5000  2 Sb 3.19, 2 Pb 3.49-3.57
La10 0.8497 0.7159 0.0000  1 Sb 3.14, 4 Pb 3.42-3.48
Sb1 0.0000 0.5000 0.0000  6 La 3.14-3.19
Sb2 0.5000 0.0000 0.0000  6 La 3.14-3.19
Pb1 0.0808 0.8263 0.5000  9 La 3.42-3.71
Pb2 0.4192 0.3263 0.5000  9 La 3.42-3.71
Pb3 0.5808 0.6737 0.5000  9 La 3.42-3.71
Pb4 0.9192 0.1737 0.5000  9 La 3.42-3.71

Formation energy from raw total energies ... -523 kJ/mol of formula units
Symmetry ... No. 55
Energy ... -41.59 eV/f.u.
Calculated volume ... 279.9 Å³/f.u.
Total moment ... 0.000 μB/atom


La4SbPb2 | PBE | optimized geometry

Cell: 9.4706 9.4706 9.4706 Å, 144.05 144.05 51.75°
With the nearest neighbours (Å) after each atom.
Fractional positions:
La1 0.0000 0.5000 0.5000  2 Sb 2.92
La2 0.1828 0.1828 0.0000  1 Sb 3.12, 1 Pb 3.25
La3 0.5000 0.0000 0.5000  2 Sb 2.92
La4 0.8172 0.8172 0.0000  1 Sb 3.12, 1 Pb 3.25
Sb1 0.0000 0.0000 0.0000  6 La 2.92-3.12
Pb1 0.3736 0.3736 0.0000  5 La 3.25-3.63
Pb2 0.6264 0.6264 0.0000  5 La 3.25-3.63

Formation energy from raw total energies ... -229 kJ/mol of formula units
Symmetry ... No. 139
Energy ... -33.62 eV/f.u.
Calculated volume ... 291.2 Å³/f.u.
Total moment ... 0.000 μB/atom


LaSb2Pb | PBE | optimized geometry

Cell: 4.2707 4.2860 6.5977 Å, 90.00 90.00 90.00°
With the nearest neighbours (Å) after each atom.
Fractional positions:
La1 0.0000 0.0000 0.0000  2 Pb 3.30, 8 Sb 3.43
Sb1 0.5000 0.5000 0.2435  2 Sb 3.21-3.38, 4 La 3.43, 4 Pb 3.47
Sb2 0.5000 0.5000 0.7565  2 Sb 3.21-3.38, 4 La 3.43, 4 Pb 3.47
Pb1 0.0000 0.0000 0.5000  2 La 3.30, 8 Sb 3.47

Formation energy from raw total energies ... -219 kJ/mol of formula units
Symmetry ... No. 47
Energy ... -19.15 eV/f.u.
Calculated volume ... 120.8 Å³/f.u.
Total moment ... 0.000 μB/atom